Below is a geometry-optimized SmHoGa4 structure, with properties calculated at the PBE level.

Cell and atoms, written as CIF:
```
data_SmHoGa4
_chemical_formula_sum 'Sm2 Ho2 Ga8'
_symmetry_space_group_name_H-M 'I -4 m 2'
_symmetry_Int_Tables_number 119
_symmetry_space_group_name_Hall 'I -4 -2'
_cell_length_a 4.186
_cell_length_b 4.186
_cell_length_c 14.742
_cell_angle_alpha 90.00
_cell_angle_beta 90.00
_cell_angle_gamma 90.00
loop_
_atom_site_label
_atom_site_fract_x
_atom_site_fract_y
_atom_site_fract_z
Sm1 0.000 0.000 0.000
Ho1 0.000 0.500 0.250
Ga1 0.000 0.000 0.417
Ga2 0.000 0.500 0.668
```

As for the crystal system: tetragonal. For the total magnetization, the calculation gives 0.000 Bohr magnetons per cell. The mass density comes out at 7.639 g/cm3. As for the energy above the most stable polymorph in this dataset: 11.9 meV/atom. The energy of formation from the pure elements comes out at -3.86 eV per formula unit.

Below is a geometry-optimized Sm2Ho8Ga structure, with properties calculated at the PBE level.

Cell and atoms, written as CIF:
```
data_Sm2Ho8Ga
_chemical_formula_sum 'Sm4 Ho16 Ga2'
_symmetry_space_group_name_H-M 'C 1 2/m 1'
_symmetry_Int_Tables_number 12
_cell_length_a 18.638
_cell_length_b 5.400
_cell_length_c 7.370
_cell_angle_alpha 90.00
_cell_angle_beta 113.24
_cell_angle_gamma 90.00
loop_
_symmetry_equiv_pos_as_xyz
'x,y,z'
'-x,-y,-z'
'-x,y,-z'
'x,-y,z'
'x+1/2,y+1/2,z'
'-x+1/2,-y+1/2,-z'
'-x+1/2,y+1/2,-z'
'x+1/2,-y+1/2,z'
loop_
_atom_site_label
_atom_site_fract_x
_atom_site_fract_y
_atom_site_fract_z
Sm1 0.192 0.000 0.192
Ho1 0.000 0.000 0.256
Ho2 0.132 0.500 0.373
Ho3 0.132 0.500 0.892
Ho4 0.184 0.000 0.684
Ga1 0.000 0.500 0.500
```

As for the crystal system: monoclinic. For the total magnetization, the calculation gives 0.000 Bohr magnetons per cell. The mass density comes out at 8.233 g/cm3. The energy of formation from the pure elements comes out at -0.26 eV per formula unit.

Below is a geometry-optimized Sm2HoGa structure, with properties calculated at the PBE level.

Cell and atoms, written as CIF:
```
data_Sm2HoGa
_chemical_formula_sum 'Sm2 Ho1 Ga1'
_symmetry_space_group_name_H-M 'P 4/m m m'
_symmetry_Int_Tables_number 123
_symmetry_space_group_name_Hall '-P 4 2'
_cell_length_a 3.571
_cell_length_b 3.571
_cell_length_c 8.983
_cell_angle_alpha 90.00
_cell_angle_beta 90.00
_cell_angle_gamma 90.00
loop_
_atom_site_label
_atom_site_fract_x
_atom_site_fract_y
_atom_site_fract_z
Sm1 0.000 0.000 0.212
Ho1 0.500 0.500 0.500
Ga1 0.500 0.500 0.000
```

As for the crystal system: tetragonal. For the total magnetization, the calculation gives 0.000 Bohr magnetons per cell. The mass density comes out at 7.762 g/cm3. As for the energy above the most stable polymorph in this dataset: 18.7 meV/atom. The energy of formation from the pure elements comes out at -0.98 eV per formula unit.